# LiPdI, optimized geometry, DFT PBE-GGA
# E above lowest polymorph in eV/atom: 0.113
# ΔE_f (raw) in meV/atom: -445
# Calculated volume in A^3/atom: 21.32
data_LiPdI
_chemical_formula_sum 'Li4 Pd4 I4'
_symmetry_space_group_name_H-M 'P 1'
_symmetry_Int_Tables_number 1
_symmetry_space_group_name_Hall 'P 1'
_cell_length_a 6.587
_cell_length_b 4.680
_cell_length_c 8.299
_cell_angle_alpha 90.00
_cell_angle_beta 90.00
_cell_angle_gamma 90.00
loop_
_atom_site_label
_atom_site_type_symbol
_atom_site_fract_x
_atom_site_fract_y
_atom_site_fract_z
I1 I 0.776 0.250 0.569
I2 I 0.724 0.750 0.069
I3 I 0.224 0.750 0.431
I4 I 0.276 0.250 0.931
Pd1 Pd 0.278 0.250 0.262
Pd2 Pd 0.222 0.750 0.762
Pd3 Pd 0.722 0.750 0.738
Pd4 Pd 0.778 0.250 0.238
Li1 Li 0.857 0.250 0.900
Li2 Li 0.643 0.750 0.400
Li3 Li 0.143 0.750 0.100
Li4 Li 0.357 0.250 0.600

***

# CaNd2Ir, optimized geometry, DFT PBE-GGA
# E above lowest polymorph in eV/atom: 0.000
# Calculated volume in A^3/atom: 32.80
# DFT formation energy in kJ per mole of atoms: -37.4
data_CaNd2Ir
_chemical_formula_sum 'Ca4 Nd8 Ir4'
_symmetry_space_group_name_H-M 'P 1'
_symmetry_Int_Tables_number 1
_symmetry_space_group_name_Hall 'P 1'
_cell_length_a 6.731
_cell_length_b 7.525
_cell_length_c 10.362
_cell_angle_alpha 90.00
_cell_angle_beta 90.00
_cell_angle_gamma 90.00
loop_
_atom_site_label
_atom_site_type_symbol
_atom_site_fract_x
_atom_site_fract_y
_atom_site_fract_z
Ca1 Ca 0.769 0.750 0.872
Ca2 Ca 0.269 0.750 0.128
Ca3 Ca 0.731 0.250 0.872
Ca4 Ca 0.231 0.250 0.128
Nd1 Nd 0.250 0.500 0.802
Nd2 Nd 0.250 0.000 0.802
Nd3 Nd 0.750 0.000 0.545
Nd4 Nd 0.750 0.000 0.198
Nd5 Nd 0.250 0.000 0.455
Nd6 Nd 0.250 0.500 0.455
Nd7 Nd 0.750 0.500 0.198
Nd8 Nd 0.750 0.500 0.545
Ir1 Ir 0.956 0.250 0.353
Ir2 Ir 0.544 0.750 0.353
Ir3 Ir 0.044 0.750 0.647
Ir4 Ir 0.456 0.250 0.647

***

# RuAu4Cl, optimized geometry, DFT PBE-GGA
# ΔE_f (raw) in meV/atom: 597
# Calculated volume in A^3/atom: 19.96
data_RuAu4Cl
_chemical_formula_sum 'Ru1 Au4 Cl1'
_symmetry_space_group_name_H-M 'P 1'
_symmetry_Int_Tables_number 1
_symmetry_space_group_name_Hall 'P 1'
_cell_length_a 5.533
_cell_length_b 5.533
_cell_length_c 5.533
_cell_angle_alpha 60.00
_cell_angle_beta 60.00
_cell_angle_gamma 60.00
loop_
_atom_site_label
_atom_site_type_symbol
_atom_site_fract_x
_atom_site_fract_y
_atom_site_fract_z
Ru1 Ru 0.000 0.000 0.000
Au1 Au 0.875 0.375 0.375
Au2 Au 0.375 0.375 0.875
Au3 Au 0.375 0.875 0.375
Au4 Au 0.375 0.375 0.375
Cl1 Cl 0.750 0.750 0.750

***

# Rb2NdMn2Se4, optimized geometry, DFT PBE-GGA
# ΔE_f (raw) in meV/atom: -1087
# Calculated volume in A^3/atom: 29.27
data_Rb2NdMn2Se4
_chemical_formula_sum 'Rb2 Nd1 Mn2 Se4'
_symmetry_space_group_name_H-M 'P 1'
_symmetry_Int_Tables_number 1
_symmetry_space_group_name_Hall 'P 1'
_cell_length_a 4.282
_cell_length_b 8.257
_cell_length_c 8.184
_cell_angle_alpha 108.71
_cell_angle_beta 105.16
_cell_angle_gamma 90.00
loop_
_atom_site_label
_atom_site_type_symbol
_atom_site_fract_x
_atom_site_fract_y
_atom_site_fract_z
Rb1 Rb 0.132 0.553 0.263
Rb2 Rb 0.868 0.447 0.737
Nd1 Nd 0.000 0.000 0.000
Mn1 Mn 0.678 0.983 0.356
Mn2 Mn 0.322 0.017 0.644
Se1 Se 0.202 0.169 0.403
Se2 Se 0.798 0.831 0.597
Se3 Se 0.523 0.765 0.046
Se4 Se 0.477 0.235 0.954

***

# Sn2As2Pb, optimized geometry, DFT PBE-GGA
# E above lowest polymorph in eV/atom: 0.209
# Calculated volume in A^3/atom: 27.07
# DFT formation energy in kJ per mole of atoms: 12.3
data_Sn2As2Pb
_chemical_formula_sum 'Sn2 As2 Pb1'
_symmetry_space_group_name_H-M 'P 1'
_symmetry_Int_Tables_number 1
_symmetry_space_group_name_Hall 'P 1'
_cell_length_a 4.348
_cell_length_b 4.348
_cell_length_c 7.793
_cell_angle_alpha 73.80
_cell_angle_beta 73.80
_cell_angle_gamma 90.00
loop_
_atom_site_label
_atom_site_type_symbol
_atom_site_fract_x
_atom_site_fract_y
_atom_site_fract_z
Pb1 Pb 0.000 0.000 0.000
As1 As 0.413 0.413 0.175
As2 As 0.587 0.587 0.825
Sn1 Sn 0.750 0.250 0.500
Sn2 Sn 0.250 0.750 0.500

***

# PrInSn2Cl8, optimized geometry, DFT PBE-GGA
# ΔE_f (raw) in meV/atom: -1383
# Calculated volume in A^3/atom: 34.24
data_PrInSn2Cl8
_chemical_formula_sum 'Pr1 In1 Sn2 Cl8'
_symmetry_space_group_name_H-M 'P 1'
_symmetry_Int_Tables_number 1
_symmetry_space_group_name_Hall 'P 1'
_cell_length_a 6.923
_cell_length_b 6.534
_cell_length_c 9.105
_cell_angle_alpha 92.53
_cell_angle_beta 92.92
_cell_angle_gamma 88.68
loop_
_atom_site_label
_atom_site_type_symbol
_atom_site_fract_x
_atom_site_fract_y
_atom_site_fract_z
Pr1 Pr 0.000 0.000 0.000
In1 In 0.000 0.000 0.500
Sn1 Sn 0.508 0.502 0.745
Sn2 Sn 0.492 0.498 0.255
Cl1 Cl 0.146 0.749 0.220
Cl2 Cl 0.677 0.746 0.966
Cl3 Cl 0.818 0.219 0.223
Cl4 Cl 0.854 0.251 0.780
Cl5 Cl 0.323 0.254 0.034
Cl6 Cl 0.182 0.781 0.777
Cl7 Cl 0.645 0.717 0.546
Cl8 Cl 0.355 0.283 0.454

***

# Mg2Te2I, optimized geometry, DFT PBE-GGA
# E above lowest polymorph in eV/atom: 0.132
# ΔE_f (raw) in meV/atom: -428
# Calculated volume in A^3/atom: 27.29
data_Mg2Te2I
_chemical_formula_sum 'Mg4 Te4 I2'
_symmetry_space_group_name_H-M 'P 1'
_symmetry_Int_Tables_number 1
_symmetry_space_group_name_Hall 'P 1'
_cell_length_a 8.720
_cell_length_b 8.720
_cell_length_c 3.590
_cell_angle_alpha 90.00
_cell_angle_beta 90.00
_cell_angle_gamma 90.00
loop_
_atom_site_label
_atom_site_type_symbol
_atom_site_fract_x
_atom_site_fract_y
_atom_site_fract_z
I1 I 0.000 0.000 0.000
I2 I 0.500 0.500 0.000
Mg1 Mg 0.346 0.846 0.000
Mg2 Mg 0.846 0.654 0.000
Mg3 Mg 0.654 0.154 0.000
Mg4 Mg 0.154 0.346 0.000
Te1 Te 0.143 0.643 0.500
Te2 Te 0.643 0.857 0.500
Te3 Te 0.857 0.357 0.500
Te4 Te 0.357 0.143 0.500

***

# KCrSe2, optimized geometry, DFT PBE-GGA
# ΔE_f (raw) in meV/atom: 311
# Calculated volume in A^3/atom: 23.94
data_KCrSe2
_chemical_formula_sum 'K1 Cr1 Se2'
_symmetry_space_group_name_H-M 'P 1'
_symmetry_Int_Tables_number 1
_symmetry_space_group_name_Hall 'P 1'
_cell_length_a 5.135
_cell_length_b 5.135
_cell_length_c 5.135
_cell_angle_alpha 60.00
_cell_angle_beta 60.00
_cell_angle_gamma 60.00
loop_
_atom_site_label
_atom_site_type_symbol
_atom_site_fract_x
_atom_site_fract_y
_atom_site_fract_z
Cr1 Cr 0.500 0.500 0.500
K1 K 0.750 0.750 0.750
Se1 Se 0.000 0.000 0.000
Se2 Se 0.250 0.250 0.250